Entry 1:
DFT (PBE) results for an optimized crystal structure of MnTeCI2.

Cell: 5.3390 5.3390 4.8133 Å, 90.00 90.00 90.00°
With the nearest neighbours (Å) after each atom.
Space group P4/mmm (No. 123)
Inequivalent atoms, fractional coordinates:
Mn1 0.0000 0.0000 0.0000 [1 per cell]  2 Te 2.41, 4 I 2.67
Te1 0.0000 0.0000 0.5000 [1 per cell]  2 Mn 2.41
C1 0.5000 0.5000 0.5000 [1 per cell]  8 I 3.59, 4 Te 3.78
I1 0.0000 0.5000 0.0000 [2 per cell]  2 Mn 2.67

Its uncorrected formation energy is 1838.7 meV/atom. The energy is -3.088 eV per atom. As for the density of states at the Fermi level: 2.099 states/eV/atom.

---

Entry 2:
DFT (PBE) results for an optimized crystal structure of Pm4YTm5.

Cell: 10.2938 10.2938 6.2216 Å, 90.00 90.00 90.00°
With the nearest neighbours (Å) after each atom.
Space group I4 (No. 79)
Inequivalent atoms, fractional coordinates:
Pm1 0.0487 0.3490 0.0000 [8 per cell]  4 Tm 3.22-3.51, 1 Pm 3.27
Y1 0.0000 0.0000 0.2312 [2 per cell]  1 Tm 2.91
Tm1 0.0000 0.0000 0.7639 [2 per cell]  1 Y 2.91
Tm2 0.1487 0.2306 0.5026 [8 per cell]  4 Pm 3.22-3.51, 1 Tm 3.26, 1 Y 3.29

The energy is -4.486 eV per atom. As for the density of states at the Fermi level: 1.420 states/eV/atom.

---

Entry 3:
DFT (PBE) results for an optimized crystal structure of NaSrInSb2.

Cell: 17.1636 4.7716 11.3754 Å, 90.00 129.45 90.00°
With the nearest neighbours (Å) after each atom.
Space group C2/m (No. 12)
Inequivalent atoms, fractional coordinates:
Na1 0.1430 0.0000 0.3908 [4 per cell]  4 Sb 3.09-3.22
Sr1 0.2352 0.5000 0.1508 [4 per cell]  5 Sb 3.32-3.40
In1 0.0459 0.5000 0.6995 [4 per cell]  4 Sb 2.92-2.97
Sb1 0.0848 0.0000 0.8859 [4 per cell]  2 In 2.97, 1 Na 3.09
Sb2 0.1605 0.5000 0.5873 [4 per cell]  2 In 2.92-2.95, 3 Na 3.15-3.22

Its uncorrected formation energy is -522.6 meV/atom. The energy is -3.319 eV per atom. As for the density of states at the Fermi level: 0.039 states/eV/atom.

---

Entry 4:
DFT (PBE) results for an optimized crystal structure of NdDy2Y4Mg.

Cell: 5.7830 5.7830 7.5489 Å, 90.00 90.00 90.00°
With the nearest neighbours (Å) after each atom.
Space group P4/mmm (No. 123)
Inequivalent atoms, fractional coordinates:
Nd1 0.0000 0.0000 0.0000 [1 per cell]  8 Y 3.43, 2 Dy 3.77
Dy1 0.0000 0.0000 0.5000 [1 per cell]  8 Y 3.48, 2 Nd 3.77
Dy2 0.5000 0.5000 0.5000 [1 per cell]  8 Y 3.48, 2 Mg 3.77
Y1 0.0000 0.5000 0.2439 [4 per cell]  2 Mg 3.43, 2 Nd 3.43, 4 Dy 3.48, 1 Y 3.68
Mg1 0.5000 0.5000 0.0000 [1 per cell]  8 Y 3.43, 2 Dy 3.77

The energy is -5.079 eV per atom. As for the density of states at the Fermi level: 2.012 states/eV/atom.

---

Entry 5:
DFT (PBE) results for an optimized crystal structure of EuNbGa2.

Cell: 3.5354 3.5354 6.6454 Å, 90.00 90.00 90.00°
With the nearest neighbours (Å) after each atom.
Space group P4/mmm (No. 123)
Inequivalent atoms, fractional coordinates:
Eu1 0.0000 0.0000 0.0000 [1 per cell]  8 Ga 3.22, 2 Nb 3.32, 4 Eu 3.54
Nb1 0.0000 0.0000 0.5000 [1 per cell]  8 Ga 2.82
Ga1 0.5000 0.5000 0.3050 [2 per cell]  1 Ga 2.59, 4 Nb 2.82

The energy is -6.849 eV per atom. As for the density of states at the Fermi level: 1.059 states/eV/atom.

---

Entry 6:
DFT (PBE) results for an optimized crystal structure of Sr2ScTc.

Cell: 4.9208 4.9283 9.9986 Å, 90.00 90.00 90.00°
With the nearest neighbours (Å) after each atom.
Space group Cmmm (No. 65)
Inequivalent atoms, fractional coordinates:
Sr1 0.0000 0.0000 0.2057 [4 per cell]  4 Tc 3.21, 4 Sr 3.48
Sc1 0.0000 0.5000 0.5000 [2 per cell]  4 Sc 3.48, 8 Sr 3.84
Tc1 0.0000 0.5000 0.0000 [2 per cell]  8 Sr 3.21, 4 Tc 3.48

The energy is -4.232 eV per atom. As for the density of states at the Fermi level: 1.094 states/eV/atom.

---

Entry 7:
DFT (PBE) results for an optimized crystal structure of SnHg2ClO.

Cell: 5.0165 5.0165 4.8737 Å, 90.00 90.00 90.00°
With the nearest neighbours (Å) after each atom.
Space group P4/mmm (No. 123)
Inequivalent atoms, fractional coordinates:
Sn1 0.0000 0.0000 0.0000 [1 per cell]  2 O 2.44
Hg1 0.0000 0.5000 0.5000 [2 per cell]  2 O 2.51
Cl1 0.5000 0.5000 0.0000 [1 per cell]  8 Hg 3.50, 4 Sn 3.55
O1 0.0000 0.0000 0.5000 [1 per cell]  2 Sn 2.44, 4 Hg 2.51

Its uncorrected formation energy is -117.5 meV/atom. The energy is -2.400 eV per atom. As for the density of states at the Fermi level: 0.559 states/eV/atom.

---

Entry 8:
DFT (PBE) results for an optimized crystal structure of Zr3TlCl.

Cell: 5.4396 5.4396 5.4396 Å, 90.00 90.00 90.00°
With the nearest neighbours (Å) after each atom.
Space group Pm-3m (No. 221)
Inequivalent atoms, fractional coordinates:
Zr1 0.0000 0.0000 0.5000 [3 per cell]  2 Tl 2.72
Tl1 0.0000 0.0000 0.0000 [1 per cell]  6 Zr 2.72
Cl1 0.5000 0.5000 0.5000 [1 per cell]  12 Zr 3.85

Its uncorrected formation energy is 1198.2 meV/atom. The energy is -4.773 eV per atom. As for the density of states at the Fermi level: 1.395 states/eV/atom.